1.
This record from Alexandria describes Ac4V after structural relaxation. The functional is PBE.

energy of formation = 0.4466 eV per atom
crystal system = cubic
calculated volume = 40.85 Å³ per atom

Unit cell a=5.889 b=5.889 c=5.889 alpha=90.00 beta=90.00 gamma=90.00
Space group Pm-3m (No. 221)
Inequivalent atoms, fractional coordinates:
Ac 0.000 0.000 0.000 [1 per cell]
Ac 0.000 0.500 0.500 [3 per cell]
V 0.500 0.500 0.500 [1 per cell]


2.
This record from Alexandria describes Er2CdPd2 after structural relaxation. The functional is PBE.

energy of formation = -0.8140 eV per atom
crystal system = tetragonal
calculated volume = 21.75 Å³ per atom

Unit cell a=7.722 b=7.722 c=3.647 alpha=90.00 beta=90.00 gamma=90.00
Space group P4/mbm (No. 127)
Inequivalent atoms, fractional coordinates:
Er 0.169 0.331 0.000 [4 per cell]
Cd 0.000 0.000 0.500 [2 per cell]
Pd 0.130 0.630 0.500 [4 per cell]


3.
This record from Alexandria describes Tb5Sm12Er2 after structural relaxation. The functional is PBE.

energy of formation = 0.1208 eV per atom
crystal system = monoclinic
calculated volume = 33.48 Å³ per atom
energy relative to the lowest polymorph listed for this composition = 0.00 eV per formula unit

Unit cell a=15.794 b=9.254 c=8.713 alpha=90.00 beta=92.41 gamma=90.00
Space group C2/m (No. 12)
Inequivalent atoms, fractional coordinates:
Tb 0.000 0.000 0.000 [2 per cell]
Tb 0.205 0.500 0.529 [4 per cell]
Tb 0.231 0.000 0.068 [4 per cell]
Sm 0.059 0.500 0.842 [4 per cell]
Sm 0.077 0.000 0.379 [4 per cell]
Sm 0.130 0.304 0.179 [8 per cell]
Sm 0.150 0.181 0.738 [8 per cell]
Er 0.000 0.329 0.500 [4 per cell]


4.
This record from Alexandria describes CaAcAl3 after structural relaxation. The functional is PBE.

energy of formation = -0.3247 eV per atom
crystal system = orthorhombic
calculated volume = 28.18 Å³ per atom

Unit cell a=4.600 b=27.251 c=4.496 alpha=90.00 beta=90.00 gamma=90.00
Space group Cmcm (No. 63)
Inequivalent atoms, fractional coordinates:
Ca 0.000 0.206 0.250 [4 per cell]
Ac 0.000 0.073 0.750 [4 per cell]
Al 0.000 0.328 0.250 [4 per cell]
Al 0.000 0.379 0.750 [4 per cell]
Al 0.000 0.476 0.750 [4 per cell]


5.
This record from Alexandria describes Nd4Sm9Tl11 after structural relaxation. The functional is PBE.

energy of formation = -0.3077 eV per atom
crystal system = orthorhombic
calculated volume = 29.43 Å³ per atom

Unit cell a=16.523 b=23.462 c=3.644 alpha=90.00 beta=90.00 gamma=90.00
Space group Cmmm (No. 65)
Inequivalent atoms, fractional coordinates:
Nd 0.168 0.082 0.000 [8 per cell]
Sm 0.000 0.000 0.000 [2 per cell]
Sm 0.109 0.406 0.000 [8 per cell]
Sm 0.114 0.227 0.000 [8 per cell]
Tl 0.000 0.123 0.500 [4 per cell]
Tl 0.000 0.313 0.500 [4 per cell]
Tl 0.000 0.500 0.500 [2 per cell]
Tl 0.209 0.500 0.500 [4 per cell]
Tl 0.228 0.319 0.500 [8 per cell]


Result set for magnetic moment: 1.33; 0.00; 0.00; 0.00; 0.00 Bohr magnetons per cell, one per record in the order listed.